(1)
Below is a relaxed K2SiAu crystal, with properties calculated at the PBE level.

Unit cell a=4.1436 b=4.7332 c=5.7668 alpha=90.00 beta=90.00 gamma=90.00
With the nearest neighbours (Å) after each atom.
Space group Pmmm (No. 47)
One atom of each set of equivalent atoms:
K  0.0000  0.0000  0.2491 (multiplicity 2)  2 K 2.87-2.89
Si  0.5000  0.5000  0.5000 (multiplicity 1)  2 Au 2.88
Au  0.5000  0.5000  0.0000 (multiplicity 1)  2 Si 2.88

Computed properties:
Formation energy without anion corrections (eV per formula unit): 0.879


(2)
Below is a relaxed HgMo2Pt2 crystal, with properties calculated at the PBE level.

Unit cell a=7.9349 b=7.9349 c=2.7465 alpha=90.00 beta=90.00 gamma=90.00
With the nearest neighbours (Å) after each atom.
Space group P4/mbm (No. 127)
One atom of each set of equivalent atoms:
Hg  0.0000  0.0000  0.0000 (multiplicity 2)  2 Hg 2.75
Mo  0.1730  0.3270  0.5000 (multiplicity 4)  6 Pt 2.68-2.74, 2 Mo 2.75
Pt  0.1221  0.6221  0.0000 (multiplicity 4)  6 Mo 2.68-2.74, 3 Pt 2.74-2.75

Computed properties:
DFT formation energy (kJ/mol of atoms): 9.23


(3)
Below is a relaxed Pa2Co2Os crystal, with properties calculated at the PBE level.

Unit cell a=7.1011 b=7.1011 c=3.3952 alpha=90.00 beta=90.00 gamma=90.00
With the nearest neighbours (Å) after each atom.
Space group P4/mbm (No. 127)
One atom of each set of equivalent atoms:
Pa  0.1834  0.3166  0.0000 (multiplicity 4)  6 Co 2.56-2.80
Co  0.1257  0.6257  0.5000 (multiplicity 4)  1 Co 2.52, 6 Pa 2.56-2.80, 2 Os 2.80
Os  0.0000  0.0000  0.5000 (multiplicity 2)  4 Co 2.80, 8 Pa 3.10

Computed properties:
DFT formation energy (kJ/mol of atoms): -37.85


(4)
Below is a relaxed LuCoC6N6 crystal, with properties calculated at the PBE level.

Unit cell a=7.3519 b=7.3519 c=12.8836 alpha=90.00 beta=90.00 gamma=120.00
With the nearest neighbours (Å) after each atom.
Space group P6_3/mmc (No. 194)
One atom of each set of equivalent atoms:
Lu  0.3333  0.6667  0.2500 (multiplicity 2)  6 N 2.29
Co  0.0000  0.0000  0.0000 (multiplicity 2)  6 C 1.87
C  0.1194  0.2389  0.0841 (multiplicity 12)  1 N 1.17
N  0.1934  0.3869  0.1379 (multiplicity 12)  1 C 1.17

Computed properties:
Formation energy without anion corrections (eV per formula unit): -1.359


(5)
Below is a relaxed CuP2ClF crystal, with properties calculated at the PBE level.

Unit cell a=4.0352 b=4.0352 c=5.6778 alpha=90.00 beta=90.00 gamma=90.00
With the nearest neighbours (Å) after each atom.
Space group P4/mmm (No. 123)
One atom of each set of equivalent atoms:
Cu  0.0000  0.0000  0.0000 (multiplicity 1)  4 Cl 2.85
P  0.0000  0.5000  0.5000 (multiplicity 2)  2 F 2.02
Cl  0.5000  0.5000  0.0000 (multiplicity 1)  2 F 2.84, 4 Cu 2.85
F  0.5000  0.5000  0.5000 (multiplicity 1)  4 P 2.02

Computed properties:
Formation energy without anion corrections (eV per formula unit): 3.223


(6)
Below is a relaxed NaTlOs3 crystal, with properties calculated at the PBE level.

Unit cell a=5.0756 b=5.0756 c=5.0756 alpha=90.00 beta=90.00 gamma=90.00
With the nearest neighbours (Å) after each atom.
Space group Pm-3m (No. 221)
One atom of each set of equivalent atoms:
Na  0.0000  0.0000  0.0000 (multiplicity 1)  12 Os 3.59
Tl  0.5000  0.5000  0.5000 (multiplicity 1)  6 Os 2.54
Os  0.0000  0.5000  0.5000 (multiplicity 3)  2 Tl 2.54

Computed properties:
DFT formation energy (kJ/mol of atoms): 283.35


(7)
Below is a relaxed La5SmIn2 crystal, with properties calculated at the PBE level.

Unit cell a=7.1417 b=14.2756 c=5.0217 alpha=90.00 beta=90.00 gamma=90.00
With the nearest neighbours (Å) after each atom.
Space group Pbam (No. 55)
One atom of each set of equivalent atoms:
La  0.0000  0.0000  0.0000 (multiplicity 2)  6 La 3.54-3.61, 2 Sm 3.57, 4 In 3.58
La  0.0151  0.2530  0.0000 (multiplicity 4)  7 La 3.51-3.62, 1 Sm 3.53, 4 In 3.58
La  0.2450  0.8757  0.5000 (multiplicity 4)  6 La 3.51-3.62, 4 In 3.53-3.61, 2 Sm 3.57
Sm  0.0000  0.5000  0.0000 (multiplicity 2)  4 In 3.51, 8 La 3.53-3.57
In  0.2409  0.6229  0.5000 (multiplicity 4)  2 Sm 3.51, 10 La 3.53-3.61

Computed properties:
DFT formation energy (kJ/mol of atoms): -28.46


(8)
Below is a relaxed Pd2Se3 crystal, with properties calculated at the PBE level.

Unit cell a=9.1098 b=6.6112 c=6.6960 alpha=90.00 beta=90.00 gamma=90.00
With the nearest neighbours (Å) after each atom.
Space group Pbcn (No. 60)
One atom of each set of equivalent atoms:
Pd  0.1066  0.2464  0.0328 (multiplicity 8)  6 Se 2.54-2.63
Se  0.0000  0.4572  0.7500 (multiplicity 4)  4 Pd 2.54-2.63
Se  0.1537  0.1080  0.3909 (multiplicity 8)  4 Pd 2.56-2.60

Computed properties:
Formation energy without anion corrections (eV per formula unit): -1.309


(9)
Below is a relaxed YTaP2W crystal, with properties calculated at the PBE level.

Unit cell a=4.6196 b=4.6196 c=5.4765 alpha=90.00 beta=90.00 gamma=90.00
With the nearest neighbours (Å) after each atom.
Space group P4/mmm (No. 123)
One atom of each set of equivalent atoms:
Y  0.0000  0.0000  0.0000 (multiplicity 1)  2 W 2.74
Ta  0.5000  0.5000  0.0000 (multiplicity 1)  4 Y 3.27, 8 P 3.58
P  0.0000  0.5000  0.5000 (multiplicity 2)  2 W 2.31
W  0.0000  0.0000  0.5000 (multiplicity 1)  4 P 2.31

Computed properties:
DFT formation energy (kJ/mol of atoms): 101.19


(10)
Below is a relaxed Fe2AgAu crystal, with properties calculated at the PBE level.

Unit cell a=3.9132 b=3.9132 c=7.9246 alpha=90.00 beta=90.00 gamma=90.00
With the nearest neighbours (Å) after each atom.
Space group I4/mmm (No. 139)
One atom of each set of equivalent atoms:
Fe  0.0000  0.5000  0.2500 (multiplicity 4)  4 Fe 2.77, 4 Ag 2.78, 4 Au 2.78
Ag  0.0000  0.0000  0.0000 (multiplicity 2)  4 Au 2.77, 8 Fe 2.78
Au  0.0000  0.0000  0.5000 (multiplicity 2)  4 Ag 2.77, 8 Fe 2.78

Computed properties:
DFT formation energy (kJ/mol of atoms): 27.45


(11)
Below is a relaxed CrCl2 crystal, with properties calculated at the PBE level.

Unit cell a=3.2039 b=3.2039 c=13.3191 alpha=90.00 beta=90.00 gamma=90.00
With the nearest neighbours (Å) after each atom.
Space group I4/mmm (No. 139)
One atom of each set of equivalent atoms:
Cr  0.0000  0.0000  0.0000 (multiplicity 2)  8 Cl 2.71
Cl  0.0000  0.0000  0.3878 (multiplicity 4)  4 Cr 2.71, 1 Cl 2.99

Computed properties:
Formation energy without anion corrections (eV per formula unit): -1.433


(12)
Below is a relaxed Tm3Se5 crystal, with properties calculated at the PBE level.

Unit cell a=8.6281 b=8.6281 c=5.7448 alpha=90.00 beta=90.00 gamma=120.00
With the nearest neighbours (Å) after each atom.
Space group P6_3/mcm (No. 193)
One atom of each set of equivalent atoms:
Tm  0.0000  0.3681  0.2500 (multiplicity 6)  9 Se 2.87-3.09
Se  0.0000  0.2771  0.7500 (multiplicity 6)  5 Tm 2.87-3.06
Se  0.3333  0.6667  0.0000 (multiplicity 4)  2 Se 2.87, 6 Tm 3.09

Computed properties:
Formation energy without anion corrections (eV per formula unit): -12.972


In order of appearance, calculated density = 4.45, 15.03, 14.94, 2.15, 3.23, 10.13, 6.97, 7.41, 7.33, 11.40, 2.99, 8.08 g/cm³.